Model i:
A relaxed CsKAl3 crystal, computed with PBE. Values from VASP.

Quantum ESPRESSO input file:
```
&SYSTEM
  ibrav = 0, nat = 5, ntyp = 3
/
ATOMIC_SPECIES
K 39.10 K.upf
Al 26.98 Al.upf
Cs 132.91 Cs.upf
CELL_PARAMETERS angstrom
6.2898 0.0000 0.0000
0.0000 6.2898 0.0000
0.0000 0.0000 6.2898
ATOMIC_POSITIONS angstrom
K 3.1449 3.1449 3.1449
Al 0.0000 0.0000 3.1449
Al 3.1449 0.0000 0.0000
Al 0.0000 3.1449 0.0000
Cs 0.0000 0.0000 0.0000
```


Model ii:
A relaxed CsKAl3 crystal, computed with PBE. Values from VASP.

Quantum ESPRESSO input file:
```
&SYSTEM
  ibrav = 0, nat = 5, ntyp = 3
/
ATOMIC_SPECIES
Cs 132.91 Cs.upf
K 39.10 K.upf
Al 26.98 Al.upf
CELL_PARAMETERS angstrom
6.2011 0.0000 0.0000
0.0000 6.2011 0.0000
0.0000 0.0000 6.2011
ATOMIC_POSITIONS angstrom
Cs 3.1006 3.1006 3.1006
K 0.0000 0.0000 0.0000
Al 0.0000 3.1006 0.0000
Al 0.0000 0.0000 3.1006
Al 3.1006 0.0000 0.0000
```


Which structure loses on stability? model i does.


Model i:
A relaxed CsLa2Al crystal, computed with PBE. Values from VASP.

Quantum ESPRESSO input file:
```
&SYSTEM
  ibrav = 0, nat = 8, ntyp = 3
/
ATOMIC_SPECIES
Al 26.98 Al.upf
La 138.91 La.upf
Cs 132.91 Cs.upf
CELL_PARAMETERS angstrom
-0.4142 -4.1496 -5.1740
-3.0626 -4.4786 3.8371
-10.8281 -0.2604 -3.1919
ATOMIC_POSITIONS angstrom
Al -1.7384 -4.3141 -0.6684
Al -7.8146 -4.5265 -0.0116
La -4.7836 -4.4914 -0.4287
La -3.2381 -2.1099 -2.1699
La -10.2430 -4.6273 -1.8702
La -10.3452 -6.5486 -4.5887
Cs 0.0000 0.0000 0.0000
Cs -6.4904 -4.3621 -4.5171
```


Model ii:
A relaxed CsLa2Al crystal, computed with PBE. Values from VASP.

Quantum ESPRESSO input file:
```
&SYSTEM
  ibrav = 0, nat = 4, ntyp = 3
/
ATOMIC_SPECIES
La 138.91 La.upf
Cs 132.91 Cs.upf
Al 26.98 Al.upf
CELL_PARAMETERS angstrom
0.0000 4.0166 4.0166
4.0166 0.0000 4.0166
4.0166 4.0166 0.0000
ATOMIC_POSITIONS angstrom
La 6.0249 6.0249 6.0249
La 2.0083 2.0083 2.0083
Cs 4.0166 4.0166 4.0166
Al 0.0000 0.0000 0.0000
```


Which structure loses on stability? model i does.


Model i:
A relaxed CsLa2Al2 crystal, computed with PBE. Values from VASP.

Quantum ESPRESSO input file:
```
&SYSTEM
  ibrav = 0, nat = 10, ntyp = 3
/
ATOMIC_SPECIES
Cs 132.91 Cs.upf
La 138.91 La.upf
Al 26.98 Al.upf
CELL_PARAMETERS angstrom
9.7926 0.0000 0.0000
0.0000 9.7926 0.0000
0.0000 0.0000 3.4401
ATOMIC_POSITIONS angstrom
Cs 4.8963 4.8963 0.0000
Cs 0.0000 0.0000 0.0000
La 8.5633 6.1256 0.0000
La 3.6670 8.5633 0.0000
La 1.2293 3.6670 0.0000
La 6.1256 1.2293 0.0000
Al 6.5313 8.1577 1.7201
Al 1.6350 6.5313 1.7201
Al 3.2613 1.6350 1.7201
Al 8.1577 3.2613 1.7201
```


Model ii:
A relaxed CsLa2Al2 crystal, computed with PBE. Values from VASP.

Quantum ESPRESSO input file:
```
&SYSTEM
  ibrav = 0, nat = 10, ntyp = 3
/
ATOMIC_SPECIES
La 138.91 La.upf
Cs 132.91 Cs.upf
Al 26.98 Al.upf
CELL_PARAMETERS angstrom
9.5727 0.0000 0.0000
0.0000 9.5727 0.0000
0.0000 0.0000 3.5963
ATOMIC_POSITIONS angstrom
La 3.1419 1.6444 1.7981
La 6.4308 7.9283 1.7981
La 1.6444 6.4308 1.7981
La 7.9283 3.1419 1.7981
Cs 0.0000 0.0000 0.0000
Cs 4.7864 4.7864 0.0000
Al 1.0242 3.7622 0.0000
Al 5.8106 1.0242 0.0000
Al 8.5485 5.8106 0.0000
Al 3.7622 8.5485 0.0000
```


Which structure loses on stability? model ii does.